Compound: DyScSi
Source: the Alexandria database
Functional: PBE
Structure: relaxed

Summary:
Energy above the lowest structure with this stoichiometry in meV per atom: 103
Raw formation energy in meV per atom: -532.7

```
DyScSi
1.0
-2.0704 3.0366 5.5309
2.0704 -3.0366 5.5309
2.0704 3.0366 -5.5309
Dy Sc Si
2 2 2
Cartesian
0.0000 0.0000 2.2604
0.0000 0.0000 8.8014
2.0704 1.5493 0.0000
0.0000 1.4874 5.5309
2.0704 0.0000 4.2608
0.0000 3.0366 1.2701
```